First-principles (PBE) data for a relaxed Tl4FeAg crystal, as listed in the Alexandria database.

Computed properties:
Density of states at the Fermi level, states/eV/cell: 5.7
Magnetization, μB per atom: 0.55
SG: F-43m (216)
E, Ry per atom: -0.198
Mass density, Mg/m³: 9.419

Unit cell a=6.254 b=6.254 c=6.254 alpha=60.00 beta=60.00 gamma=60.00
Last column: magnetic moment on the atom in μB.
Sites, in units of the cell vectors:
Tl (0.875, 0.375, 0.375)  -0.01
Tl (0.375, 0.375, 0.875)  -0.01
Tl (0.375, 0.875, 0.375)  -0.01
Tl (0.375, 0.375, 0.375)  -0.01
Fe (0.000, 0.000, 0.000)  3.21
Ag (0.750, 0.750, 0.750)  -0.01

First-principles (PBE) data for a relaxed TlFeAg crystal, as listed in the Alexandria database.

Computed properties:
Density of states at the Fermi level, states/eV/cell: 2.4
Magnetization, μB per atom: 0.95
SG: F-43m (216)
E, Ry per atom: -0.290
Energy above the lowest structure with this stoichiometry, meV/atom: 133
Mass density, Mg/m³: 9.644

Unit cell a=4.475 b=4.475 c=4.475 alpha=60.00 beta=60.00 gamma=60.00
Last column: magnetic moment on the atom in μB.
Sites, in units of the cell vectors:
Ag (0.500, 0.500, 0.500)  0.03
Fe (0.750, 0.750, 0.750)  2.82
Tl (0.000, 0.000, 0.000)  -0.05